Entry 1:
Compound: YErTlIr
Source: Alexandria
Functional: PBE
Structure: relaxed

POSCAR file:
```
YErTlIr
1.0
-0.907 -3.339 -3.720
0.069 -4.983 0.987
-4.331 -2.655 -0.030
Ir Er Y Tl
1 1 1 1
Direct
0.750 0.750 0.750 Ir
0.500 0.500 0.500 Er
0.000 0.000 0.000 Y
0.250 0.250 0.250 Tl
```

Summary:
**Total moment**: 0.0 μB/f.u.
**Formation energy**: -48.3 kJ per mole of atoms
**DOS(E_F)**: 0.418 states/eV/atom

---

Entry 2:
Compound: FePOs2
Source: Alexandria
Functional: PBE
Structure: relaxed

POSCAR file:
```
FePOs2
1.0
-2.461 1.179 0.915
-0.147 -1.948 2.114
3.222 3.819 3.742
Os Fe P
2 1 1
Direct
0.000 0.000 0.477 Os
0.000 0.000 0.023 Os
0.500 0.500 0.750 Fe
0.500 0.500 0.250 P
```

Summary:
**Total moment**: 2.3 μB/f.u.
**Formation energy**: 10.5 kJ per mole of atoms
**DOS(E_F)**: 0.831 states/eV/atom